Here is a geometry-optimized DyLuScRu structure from the Alexandria database. Energies are from GGA-PBE.

Computed properties:
- formation enthalpy at 0 K (eV per formula unit) = -0.3

```
data_DyLuScRu
_symmetry_space_group_name_H-M 'F -4 3 m'
_symmetry_Int_Tables_number 216
_symmetry_space_group_name_Hall 'F -4 2 3'
_cell_length_a 7.0743
_cell_length_b 7.0743
_cell_length_c 7.0743
_cell_angle_alpha 90.00
_cell_angle_beta 90.00
_cell_angle_gamma 90.00
loop_
_atom_site_label
_atom_site_type_symbol
_atom_site_fract_x
_atom_site_fract_y
_atom_site_fract_z
Dy1 Dy 0.0000 0.0000 0.0000
Lu1 Lu 0.0000 0.0000 0.5000
Sc1 Sc 0.2500 0.2500 0.2500
Ru1 Ru 0.2500 0.2500 0.7500
```